Density functional theory data (PBE) for a relaxed structure of YTeMo2.

a b c (Å): 4.062 4.062 4.884
angles (deg): 90.00 90.00 90.00
Space group P4/mmm (No. 123)
Unique sites:
Y 0.000 0.000 0.000 x1
Te 0.500 0.500 0.000 x1
Mo 0.000 0.500 0.500 x2

Uncorrected energy, eV per formula unit: -30.26
Fermi-level density of states, states/eV per cell: 3.0
Uncorrected formation energy, meV per atom: 253